Below is a relaxed GeSbMoW crystal, with properties calculated at the GGA-PBE level. Values from VASP.

The structure in Quantum ESPRESSO input format:
```
&SYSTEM
  ibrav = 0, nat = 8, ntyp = 4
/
ATOMIC_SPECIES
Mo 95.94 Mo.upf
Sb 121.76 Sb.upf
W 183.84 W.upf
Ge 72.64 Ge.upf
CELL_PARAMETERS angstrom
6.5781 0.0000 -0.0090
0.0000 3.3954 0.0000
-6.2524 0.0000 6.7076
ATOMIC_POSITIONS crystal
Mo 0.6896 0.0000 0.4041
Mo 0.6896 0.5000 0.9041
Sb 0.8611 0.0000 0.2076
Sb 0.8611 0.5000 0.7076
W 0.4159 0.5000 0.0540
W 0.4159 0.0000 0.5540
Ge 0.2764 0.5000 0.2613
Ge 0.2764 0.0000 0.7613
```

Final energy   -7.788 eV/atom
Energy relative to the elements, uncorrected   343 meV per atom